DyCd4Ag after structural relaxation. Source: the Alexandria database, functional GGA-PBE.

Lattice parameters (Å, degrees): 8.1928 8.1928 8.1928 90.00 90.00 90.00
Closest atoms and distances in Å follow each position.
Space group F-43m (No. 216)
Asymmetric unit:
Dy: 0.0000 0.0000 0.0000  12 Cd 3.40, 4 Ag 3.55
Cd: 0.1250 0.1250 0.6250  6 Cd 2.90
Ag: 0.2500 0.2500 0.2500  12 Cd 3.40, 4 Dy 3.55

Output
The calculation puts the calculated volume at 22.914 Å³ per atom. As for the polymorph energy (0 for the lowest one): 0.124 eV/atom.

***

DyCdAg after structural relaxation. Source: the Alexandria database, functional GGA-PBE.

Lattice parameters (Å, degrees): 4.9046 4.9046 3.3192 90.00 90.00 120.00
Closest atoms and distances in Å follow each position.
Space group P-6m2 (No. 187)
Asymmetric unit:
Dy: 0.0000 0.0000 0.0000  6 Cd 3.28, 6 Ag 3.28, 2 Dy 3.32
Cd: 0.3333 0.6667 0.5000  3 Ag 2.83
Ag: 0.6667 0.3333 0.5000  3 Cd 2.83

Output
The value obtained for the final energy is -0.11306 Ha/atom. The calculation puts the calculated volume at 23.048 Å³ per atom.

***

Dy2Cd16Ag after structural relaxation. Source: the Alexandria database, functional GGA-PBE.

Lattice parameters (Å, degrees): 9.9693 9.9693 15.0834 90.00 90.00 120.00
Closest atoms and distances in Å follow each position.
Space group R3m (No. 160, hexagonal axes)
Asymmetric unit:
Dy: 0.0000 0.0000 0.0000  13 Cd 3.29-3.49
Dy: 0.0000 0.0000 0.3385  15 Cd 3.42-3.75
Cd: 0.0000 0.0000 0.7818  1 Ag 2.81, 3 Cd 2.94
Cd: 0.0018 0.3012 0.6737  8 Cd 2.93-3.25, 1 Ag 3.22
Cd: 0.0250 0.5125 0.5318  7 Cd 2.85-3.10
Cd: 0.0538 0.5269 0.1655  1 Ag 2.82, 8 Cd 2.93-3.10
Cd: 0.0638 0.5319 0.8253  6 Cd 2.85-3.08
Ag: 0.0000 0.0000 0.5954  4 Cd 2.81-2.82

Output
The value obtained for the final energy is -0.05538 Ha/atom. The calculation puts the calculated volume at 22.776 Å³ per atom.

***

DyCd5Ag8 after structural relaxation. Source: the Alexandria database, functional GGA-PBE.

Lattice parameters (Å, degrees): 8.1640 8.1640 8.8244 90.00 90.00 90.00
Closest atoms and distances in Å follow each position.
Space group I-4 (No. 82)
Asymmetric unit:
Dy: 0.0000 0.0000 0.0000  4 Ag 2.98
Cd: 0.0000 0.5000 0.7500  8 Ag 2.76-2.98
Cd: 0.1454 0.2827 0.3287  8 Ag 2.85-3.05
Ag: 0.0709 0.1606 0.6449  5 Cd 2.87-3.05, 3 Ag 2.87-3.01
Ag: 0.0999 0.3511 0.0153  5 Cd 2.76-2.93, 3 Ag 2.92-3.01, 1 Dy 2.98

Output
The value obtained for the final energy is -0.08429 Ha/atom. The calculation puts the calculated volume at 21.006 Å³ per atom.

***

Dy4Cd2Ag3 after structural relaxation. Source: the Alexandria database, functional GGA-PBE.

Lattice parameters (Å, degrees): 9.8214 4.9606 9.1609 90.00 101.73 90.00
Closest atoms and distances in Å follow each position.
Space group C2/m (No. 12)
Asymmetric unit:
Dy: 0.0569 0.0000 0.3402  4 Ag 2.94-3.22, 3 Cd 3.15-3.17
Dy: 0.1444 0.5000 0.8974  3 Ag 3.03-3.10, 3 Cd 3.26-3.28
Cd: 0.2270 0.5000 0.2627  3 Ag 3.07-3.09, 6 Dy 3.15-3.28
Ag: 0.0000 0.0000 0.0000  6 Dy 3.05-3.10
Ag: 0.1381 0.5000 0.5649  1 Ag 2.73, 2 Dy 2.94-3.03

Output
The value obtained for the final energy is -0.12664 Ha/atom. The calculation puts the calculated volume at 24.278 Å³ per atom.

***

Dy6CdAg2 after structural relaxation. Source: the Alexandria database, functional GGA-PBE.

Lattice parameters (Å, degrees): 9.7179 10.0681 10.2014 90.00 90.00 90.00
Closest atoms and distances in Å follow each position.
Space group Immm (No. 71)
Asymmetric unit:
Dy: 0.0000 0.2208 0.1765  3 Ag 2.94-3.19
Dy: 0.1795 0.2287 0.5000  3 Ag 3.20-3.21, 1 Cd 3.24, 1 Dy 3.49
Dy: 0.1998 0.5000 0.2536  2 Ag 2.93-3.16, 2 Cd 3.18-3.24
Cd: 0.0000 0.5000 0.0000  8 Dy 3.24-3.34
Cd: 0.0000 0.5000 0.5000  8 Dy 3.18-3.24, 2 Ag 3.44
Ag: 0.0000 0.0000 0.3658  1 Ag 2.74, 2 Dy 2.94
Ag: 0.1461 0.0000 0.0000  1 Ag 2.84, 2 Dy 2.93

Output
The value obtained for the final energy is -0.14609 Ha/atom. The calculation puts the calculated volume at 27.725 Å³ per atom.